Record 1
Computed, not measured: an optimized crystal structure of Tb2Fe3Co4 at the GGA-PBE level of DFT.

abc: 7.7404 7.7404 6.9300
angles: 90.00 90.00 139.89
With the nearest neighbours (Å) after each atom.
Sites, in units of the cell vectors:
Tb1 0.1051 0.8949 0.9081  7 Co 2.76-3.08, 2 Fe 2.92
Tb2 0.3949 0.6051 0.4081  7 Co 2.76-3.08, 2 Fe 2.92
Tb3 0.6051 0.3949 0.5919  7 Co 2.76-3.08, 2 Fe 2.92
Tb4 0.8949 0.1051 0.0919  7 Co 2.76-3.08, 2 Fe 2.92
Fe1 0.0000 0.0000 0.5000  6 Co 2.41-2.51
Fe2 0.0176 0.4824 0.7500  5 Co 2.35-2.56
Fe3 0.4824 0.0176 0.2500  5 Co 2.35-2.56
Fe4 0.5000 0.5000 0.0000  6 Co 2.41-2.51
Fe5 0.5176 0.9824 0.7500  5 Co 2.35-2.56
Fe6 0.9824 0.5176 0.2500  5 Co 2.35-2.56
Co1 0.1725 0.8275 0.5056  5 Fe 2.38-2.56, 2 Co 2.66
Co2 0.1794 0.3206 0.7500  3 Fe 2.35-2.41
Co3 0.3206 0.1794 0.2500  3 Fe 2.35-2.41
Co4 0.3275 0.6725 0.0056  5 Fe 2.38-2.56, 2 Co 2.66
Co5 0.6725 0.3275 0.9944  5 Fe 2.38-2.56, 2 Co 2.66
Co6 0.6794 0.8206 0.7500  3 Fe 2.35-2.41
Co7 0.8206 0.6794 0.2500  3 Fe 2.35-2.41
Co8 0.8275 0.1725 0.4944  5 Fe 2.38-2.56, 2 Co 2.66

Results
Calculated total energy, eV per atom: -7.056
Formation energy, eV per atom: -0.048

***

Record 2
Computed, not measured: an optimized crystal structure of Tb2Fe5Co12 at the GGA-PBE level of DFT.

abc: 6.3098 6.3098 6.3098
angles: 82.80 82.80 82.80
With the nearest neighbours (Å) after each atom.
Sites, in units of the cell vectors:
Tb1 0.1576 0.1576 0.1576  15 Co 2.98-3.16, 4 Fe 3.02-3.23
Tb2 0.8424 0.8424 0.8424  15 Co 2.98-3.16, 4 Fe 3.02-3.23
Fe1 0.0000 0.5000 0.5000  8 Co 2.39-2.42, 2 Fe 2.56
Fe2 0.4043 0.4043 0.4043  4 Fe 2.34-2.56
Fe3 0.5000 0.0000 0.5000  8 Co 2.39-2.42, 2 Fe 2.56
Fe4 0.5000 0.5000 0.0000  8 Co 2.39-2.42, 2 Fe 2.56
Fe5 0.5957 0.5957 0.5957  4 Fe 2.34-2.56
Co1 0.1542 0.1542 0.6576  6 Co 2.41-2.59, 3 Fe 2.42-2.63
Co2 0.1542 0.6576 0.1542  6 Co 2.41-2.59, 3 Fe 2.42-2.63
Co3 0.2107 0.5000 0.7893  2 Fe 2.39, 6 Co 2.41-2.59
Co4 0.2107 0.7893 0.5000  2 Fe 2.39, 6 Co 2.41-2.59
Co5 0.3424 0.8458 0.8458  6 Co 2.41-2.59, 3 Fe 2.42-2.63
Co6 0.5000 0.2107 0.7893  2 Fe 2.39, 6 Co 2.41-2.59
Co7 0.5000 0.7893 0.2107  2 Fe 2.39, 6 Co 2.41-2.59
Co8 0.6576 0.1542 0.1542  6 Co 2.41-2.59, 3 Fe 2.42-2.63
Co9 0.7893 0.2107 0.5000  2 Fe 2.39, 6 Co 2.41-2.59
Co10 0.7893 0.5000 0.2107  2 Fe 2.39, 6 Co 2.41-2.59
Co11 0.8458 0.3424 0.8458  6 Co 2.41-2.59, 3 Fe 2.42-2.63
Co12 0.8458 0.8458 0.3424  6 Co 2.41-2.59, 3 Fe 2.42-2.63

Results
Calculated total energy, eV per atom: -7.301
Formation energy, eV per atom: -0.099

***

Record 3
Computed, not measured: an optimized crystal structure of Tb3Fe2Co7 at the GGA-PBE level of DFT.

abc: 8.4648 8.4648 8.4648
angles: 34.89 34.89 34.89
With the nearest neighbours (Å) after each atom.
Sites, in units of the cell vectors:
Tb1 0.0000 0.0000 0.0000  6 Fe 2.93, 12 Co 3.20
Tb2 0.1408 0.1408 0.1408  12 Co 2.90-3.02, 3 Tb 3.18
Tb3 0.8592 0.8592 0.8592  12 Co 2.90-3.02, 3 Tb 3.18
Fe1 0.3339 0.3339 0.3339  6 Co 2.43-2.44
Fe2 0.6661 0.6661 0.6661  6 Co 2.43-2.44
Co1 0.0802 0.5823 0.5823  2 Fe 2.43-2.44, 5 Co 2.50-2.55
Co2 0.4177 0.4177 0.9198  2 Fe 2.43-2.44, 5 Co 2.50-2.55
Co3 0.4177 0.9198 0.4177  2 Fe 2.43-2.44, 5 Co 2.50-2.55
Co4 0.5000 0.5000 0.5000  6 Co 2.50
Co5 0.5823 0.0802 0.5823  2 Fe 2.43-2.44, 5 Co 2.50-2.55
Co6 0.5823 0.5823 0.0802  2 Fe 2.43-2.44, 5 Co 2.50-2.55
Co7 0.9198 0.4177 0.4177  2 Fe 2.43-2.44, 5 Co 2.50-2.55

Results
Calculated total energy, eV per atom: -6.880
Formation energy, eV per atom: -0.167

***

Record 4
Computed, not measured: an optimized crystal structure of TbFeCo10 at the GGA-PBE level of DFT.

abc: 4.0262 4.7209 8.2946
angles: 90.00 90.00 90.00
With the nearest neighbours (Å) after each atom.
Sites, in units of the cell vectors:
Tb1 0.0000 0.0000 0.0000  18 Co 2.89-3.16
Fe1 0.0000 0.5000 0.5000  6 Co 2.47-2.67
Co1 0.0000 0.0000 0.3504  7 Co 2.36-2.48
Co2 0.0000 0.0000 0.6496  7 Co 2.36-2.48
Co3 0.0000 0.5000 0.2021  6 Co 2.37-2.62, 1 Fe 2.47
Co4 0.0000 0.5000 0.7979  6 Co 2.37-2.62, 1 Fe 2.47
Co5 0.5000 0.0000 0.5000  8 Co 2.35-2.36
Co6 0.5000 0.2522 0.2561  8 Co 2.34-2.47
Co7 0.5000 0.2522 0.7439  8 Co 2.34-2.47
Co8 0.5000 0.5000 0.0000  8 Co 2.42-2.62
Co9 0.5000 0.7478 0.2561  8 Co 2.34-2.47
Co10 0.5000 0.7478 0.7439  8 Co 2.34-2.47

Results
Calculated total energy, eV per atom: -6.928
Formation energy, eV per atom: 0.085

***

Question: Number 3 is which compound?
Answer: Tb3Fe2Co7

***

Question: Among the records above, which one has the lowest formation energy?
Answer: Tb3Fe2Co7

***

Question: Which of these has the highest formation energy?
Answer: TbFeCo10

***

Question: Which value of formation energy does entry 2 give?
Answer: -0.099 eV per atom